No. 1
AcNd6Sm8: optimized geometry, PBE-GGA.

## Properties
ΔH_f (0 K) (eV/atom): 0.1498
Symmetry: R-3, No. 148
Density of states at the Fermi level (states/eV/f.u.): 22.523
E above lowest polymorph (meV/atom): 0

```
data_AcNd6Sm8
_symmetry_space_group_name_H-M 'P 1'
_symmetry_Int_Tables_number 1
_symmetry_space_group_name_Hall 'P 1'
_cell_length_a 8.7538
_cell_length_b 8.7538
_cell_length_c 8.7538
_cell_angle_alpha 65.70
_cell_angle_beta 65.70
_cell_angle_gamma 65.70
loop_
_atom_site_label
_atom_site_type_symbol
_atom_site_fract_x
_atom_site_fract_y
_atom_site_fract_z
Ac1 Ac 0.0000 0.0000 0.0000
Nd1 Nd 0.1061 0.5508 0.2695
Nd2 Nd 0.2695 0.1061 0.5508
Nd3 Nd 0.4492 0.7305 0.8939
Nd4 Nd 0.5508 0.2695 0.1061
Nd5 Nd 0.7305 0.8939 0.4492
Nd6 Nd 0.8939 0.4492 0.7305
Sm1 Sm 0.0823 0.7743 0.6481
Sm2 Sm 0.2257 0.3520 0.9177
Sm3 Sm 0.3519 0.9177 0.2257
Sm4 Sm 0.4292 0.4292 0.4292
Sm5 Sm 0.5708 0.5708 0.5708
Sm6 Sm 0.6481 0.0823 0.7743
Sm7 Sm 0.7743 0.6481 0.0823
Sm8 Sm 0.9177 0.2257 0.3520
```


No. 2
Nd6As3S2Cl: optimized geometry, PBE-GGA.

## Properties
Symmetry: C2/m, No. 12
Density of states at the Fermi level (states/eV/f.u.): 3.967
Formation energy from raw total energies (eV per atom): -1.715

```
data_Nd6As3S2Cl
_symmetry_space_group_name_H-M 'P 1'
_symmetry_Int_Tables_number 1
_symmetry_space_group_name_Hall 'P 1'
_cell_length_a 9.3572
_cell_length_b 9.3572
_cell_length_c 8.3612
_cell_angle_alpha 102.20
_cell_angle_beta 102.20
_cell_angle_gamma 25.92
loop_
_atom_site_label
_atom_site_type_symbol
_atom_site_fract_x
_atom_site_fract_y
_atom_site_fract_z
Nd1 Nd 0.0027 0.0027 0.2668
Nd2 Nd 0.3255 0.3255 0.9086
Nd3 Nd 0.3313 0.3313 0.4176
Nd4 Nd 0.6687 0.6687 0.5824
Nd5 Nd 0.6745 0.6745 0.0914
Nd6 Nd 0.9973 0.9973 0.7332
As1 As 0.1625 0.1625 0.8349
As2 As 0.5000 0.5000 0.5000
As3 As 0.8375 0.8375 0.1651
S1 S 0.1663 0.1663 0.3316
S2 S 0.8337 0.8337 0.6684
Cl1 Cl 0.5000 0.5000 0.0000
```


No. 3
YMnCd2: optimized geometry, PBE-GGA.

## Properties
ΔH_f (0 K) (eV/atom): 0.0445
Symmetry: I-4m2, No. 119
Density of states at the Fermi level (states/eV/f.u.): 3.054

```
data_YMnCd2
_symmetry_space_group_name_H-M 'P 1'
_symmetry_Int_Tables_number 1
_symmetry_space_group_name_Hall 'P 1'
_cell_length_a 4.9821
_cell_length_b 4.9821
_cell_length_c 4.9821
_cell_angle_alpha 119.75
_cell_angle_beta 119.75
_cell_angle_gamma 90.42
loop_
_atom_site_label
_atom_site_type_symbol
_atom_site_fract_x
_atom_site_fract_y
_atom_site_fract_z
Y1 Y 0.0000 0.0000 0.0000
Mn1 Mn 0.7500 0.2500 0.5000
Cd1 Cd 0.2500 0.7500 0.5000
Cd2 Cd 0.5000 0.5000 0.0000
```


Repeat the second record exactly.
Nd6As3S2Cl: optimized geometry, PBE-GGA.

## Properties
Symmetry: C2/m, No. 12
Density of states at the Fermi level (states/eV/f.u.): 3.967
Formation energy from raw total energies (eV per atom): -1.715

```
data_Nd6As3S2Cl
_symmetry_space_group_name_H-M 'P 1'
_symmetry_Int_Tables_number 1
_symmetry_space_group_name_Hall 'P 1'
_cell_length_a 9.3572
_cell_length_b 9.3572
_cell_length_c 8.3612
_cell_angle_alpha 102.20
_cell_angle_beta 102.20
_cell_angle_gamma 25.92
loop_
_atom_site_label
_atom_site_type_symbol
_atom_site_fract_x
_atom_site_fract_y
_atom_site_fract_z
Nd1 Nd 0.0027 0.0027 0.2668
Nd2 Nd 0.3255 0.3255 0.9086
Nd3 Nd 0.3313 0.3313 0.4176
Nd4 Nd 0.6687 0.6687 0.5824
Nd5 Nd 0.6745 0.6745 0.0914
Nd6 Nd 0.9973 0.9973 0.7332
As1 As 0.1625 0.1625 0.8349
As2 As 0.5000 0.5000 0.5000
As3 As 0.8375 0.8375 0.1651
S1 S 0.1663 0.1663 0.3316
S2 S 0.8337 0.8337 0.6684
Cl1 Cl 0.5000 0.5000 0.0000
```